i | Compound: Pr6SmHo2
Source: Alexandria via LeMat-Bulk
Functional: PBE-GGA
Structure: relaxed

abc: 5.808 12.191 12.191
angles: 48.43 76.21 76.21
Fractional positions:
Ho1 0.499 0.333 0.167
Ho2 0.001 0.833 0.667
Ho3 0.999 0.167 0.333
Ho4 0.501 0.667 0.833
Pr1 0.420 0.080 0.581
Pr2 0.166 0.002 0.169
Pr3 0.580 0.920 0.419
Pr4 0.666 0.169 0.002
Pr5 0.834 0.998 0.831
Pr6 0.663 0.503 0.667
Pr7 0.334 0.831 0.998
Pr8 0.163 0.667 0.503
Pr9 0.080 0.419 0.920
Pr10 0.837 0.333 0.497
Pr11 0.337 0.497 0.333
Pr12 0.920 0.581 0.080
Sm1 0.250 0.249 0.751
Sm2 0.750 0.751 0.249

## Properties
* crystal system: monoclinic
* density of states at the Fermi level: 1.40 states/eV per atom
* size of the total moment: 0.0 μB/cell
* space group: No. 15



ii | Compound: Pr6SmHo2
Source: Alexandria via LeMat-Bulk
Functional: PBE-GGA
Structure: relaxed

abc: 8.336 8.336 10.589
angles: 90.00 90.00 90.00
Fractional positions:
Ho1 0.500 0.500 0.165
Ho2 0.000 0.000 0.335
Ho3 0.500 0.500 0.835
Ho4 0.000 0.000 0.665
Pr1 0.761 0.239 0.834
Pr2 0.739 0.739 0.000
Pr3 0.739 0.739 0.666
Pr4 0.739 0.739 0.334
Pr5 0.261 0.261 0.334
Pr6 0.239 0.761 0.166
Pr7 0.239 0.761 0.834
Pr8 0.261 0.261 0.666
Pr9 0.239 0.761 0.500
Pr10 0.761 0.239 0.500
Pr11 0.761 0.239 0.166
Pr12 0.261 0.261 0.000
Sm1 0.000 0.000 0.000
Sm2 0.500 0.500 0.500

## Properties
* crystal system: tetragonal
* density of states at the Fermi level: 1.74 states/eV per atom
* size of the total moment: 0.0 μB/cell
* space group: No. 136



Most stable one: i, least stable one: ii.



i | Compound: Pr3Sm6Ho
Source: Alexandria via LeMat-Bulk
Functional: PBE-GGA
Structure: relaxed

abc: 6.491 11.112 11.112
angles: 120.51 90.00 90.00
Fractional positions:
Pr1 0.077 0.386 0.614
Pr2 0.964 0.060 0.291
Pr3 0.464 0.291 0.060
Pr4 0.464 0.940 0.709
Pr5 0.577 0.614 0.386
Pr6 0.964 0.709 0.940
Sm1 0.151 0.726 0.274
Sm2 0.862 0.036 0.964
Sm3 0.869 0.475 0.057
Sm4 0.556 0.627 0.714
Sm5 0.369 0.525 0.943
Sm6 0.362 0.964 0.036
Sm7 0.556 0.286 0.373
Sm8 0.369 0.057 0.475
Sm9 0.056 0.373 0.286
Sm10 0.056 0.714 0.627
Sm11 0.869 0.943 0.525
Sm12 0.651 0.274 0.726
Ho1 0.618 0.809 0.191
Ho2 0.118 0.191 0.809

## Properties
* crystal system: orthorhombic
* density of states at the Fermi level: 1.31 states/eV per atom
* size of the total moment: 0.0 μB/cell
* space group: No. 36



ii | Compound: Pr3Sm6Ho
Source: Alexandria via LeMat-Bulk
Functional: PBE-GGA
Structure: relaxed

abc: 6.826 9.231 6.745
angles: 105.55 120.40 90.00
Fractional positions:
Sm1 0.375 0.082 0.750
Sm2 0.429 0.303 0.376
Sm3 0.625 0.918 0.250
Sm4 0.053 0.697 0.624
Sm5 0.947 0.303 0.376
Sm6 0.571 0.697 0.624
Ho1 0.500 0.500 0.000
Pr1 0.925 0.330 0.849
Pr2 0.075 0.670 0.151
Pr3 0.000 0.000 0.000

## Properties
* crystal system: monoclinic
* density of states at the Fermi level: 1.81 states/eV per atom
* size of the total moment: 0.0 μB/cell
* space group: No. 12



Most stable one: i, least stable one: ii.